Below is a relaxed Nb2CrFeH crystal, with properties calculated at the PBE level.

Calculated values
E above lowest polymorph   0.000 eV/atom
E_tot   -41.6 eV for the cell shown
Space-group type   P4/mmm, No. 123

a b c (Å): 4.347 4.347 3.254
angles (deg): 90.00 90.00 90.00
Element x y z (fractional)
Nb1 0.000 0.500 0.000
Nb2 0.500 0.000 0.000
Cr1 0.000 0.000 0.500
Fe1 0.500 0.500 0.500
H1 0.500 0.500 0.000